1.
Y2Ta4Tl3N3: optimized geometry, PBE.

Results
M_tot ... 0.021 Bohr magnetons per cell
Volume ... 835 Å³ per cell
Total DFT energy (no corrections) ... -396.93 eV for the cell shown

abc: 10.1029 5.8905 14.4256
angles: 90.00 103.44 90.00
Space group C2/c (No. 15)
Asymmetric unit:
Y1 0.0462 0.0808 0.3987
Ta1 0.1082 0.4177 0.5696
Ta2 0.2255 0.4201 0.9305
Tl1 0.0000 0.4834 0.2500
Tl2 0.2008 0.1179 0.7511
N1 0.0828 0.2469 0.9999
N2 0.2500 0.2500 0.5000

2.
Y4Ta2Tl3N3: optimized geometry, PBE.

Results
M_tot ... 0.038 Bohr magnetons per cell
Volume ... 912 Å³ per cell
Total DFT energy (no corrections) ... -366.18 eV for the cell shown

abc: 10.2885 5.9773 15.2399
angles: 90.00 103.31 90.00
Space group C2/c (No. 15)
Asymmetric unit:
Y1 0.1149 0.0745 0.0899
Y2 0.2146 0.0883 0.4100
Ta1 0.0632 0.4137 0.9312
Tl1 0.0000 0.1205 0.7500
Tl2 0.1488 0.4332 0.2470
N1 0.0775 0.2661 0.5000
N2 0.2500 0.2500 0.0000